DFT (GGA-PBE) results for crystalline LaNiAu2 at its relaxed geometry.

Results
ΔE_f in eV per formula unit: -1.5
SG: No. 119
DOS(E_F) in states/eV/f.u.: 3.23
Size of the total moment in μB per atom: 0.000

```
LaNiAu2
1.0
4.447 0.000 0.000
0.000 4.447 0.000
0.000 0.000 8.249
La Ni Au
2 2 4
Cartesian
0.000 0.000 0.000 La
2.224 2.224 4.125 La
0.000 2.224 6.187 Ni
2.224 0.000 2.062 Ni
0.000 0.000 4.125 Au
0.000 2.224 2.062 Au
2.224 0.000 6.187 Au
2.224 2.224 0.000 Au
```